No. 1
# Tb2ScPb3 (GGA-PBE, optimized geometry)
# Crystal system = orthorhombic
data_Tb2ScPb3
_chemical_formula_sum 'Tb8 Sc4 Pb12'
_cell_length_a 16.2034
_cell_length_b 6.3535
_cell_length_c 6.6477
_cell_angle_alpha 90.00
_cell_angle_beta 90.00
_cell_angle_gamma 90.00
_space_group_name_H-M_alt 'C m c m'
_space_group_IT_number 63
_space_group_name_Hall '-C 2c 2'
loop_
_atom_site_label
_atom_site_fract_x
_atom_site_fract_y
_atom_site_fract_z
Tb1 0.1638 0.2164 0.2500
Sc1 0.0000 0.5000 0.0000
Pb1 0.0000 0.0000 0.0000
Pb2 0.1425 0.2911 0.7500

No. 2
# Tb3ScPb2 (GGA-PBE, optimized geometry)
# Crystal system = tetragonal
data_Tb3ScPb2
_chemical_formula_sum 'Tb3 Sc1 Pb2'
_cell_length_a 4.5214
_cell_length_b 4.5214
_cell_length_c 8.4768
_cell_angle_alpha 90.00
_cell_angle_beta 90.00
_cell_angle_gamma 90.00
_space_group_name_H-M_alt 'P -4 m 2'
_space_group_IT_number 115
loop_
_space_group_symop_operation_xyz
'x,y,z'
'y,-x,-z'
'-x,-y,z'
'-y,x,-z'
'-x,y,z'
'-y,-x,-z'
'x,-y,z'
'y,x,-z'
loop_
_atom_site_label
_atom_site_fract_x
_atom_site_fract_y
_atom_site_fract_z
Tb1 0.0000 0.0000 0.0000
Tb2 0.0000 0.5000 0.6586
Sc1 0.5000 0.5000 0.0000
Pb1 0.0000 0.5000 0.2778

No. 3
# TbSc3Pb (GGA-PBE, optimized geometry)
# Crystal system = orthorhombic
data_TbSc3Pb
_chemical_formula_sum 'Tb4 Sc12 Pb4'
_cell_length_a 6.6081
_cell_length_b 9.6432
_cell_length_c 8.5790
_cell_angle_alpha 90.00
_cell_angle_beta 90.00
_cell_angle_gamma 90.00
_space_group_name_H-M_alt 'P n m a'
_space_group_IT_number 62
loop_
_space_group_symop_operation_xyz
'x,y,z'
'-x,-y,-z'
'-x+1/2,-y,z+1/2'
'x+1/2,y,-z+1/2'
'x+1/2,-y+1/2,-z+1/2'
'-x+1/2,y+1/2,z+1/2'
'-x,y+1/2,-z'
'x,-y+1/2,z'
loop_
_atom_site_label
_atom_site_fract_x
_atom_site_fract_y
_atom_site_fract_z
Tb1 0.2057 0.2500 0.1403
Sc1 0.1034 0.0390 0.8366
Sc2 0.2379 0.7500 0.0391
Pb1 0.0000 0.0000 0.5000

No. 4
# Tb3Sc4Pb4 (GGA-PBE, optimized geometry)
# Crystal system = orthorhombic
data_Tb3Sc4Pb4
_chemical_formula_sum 'Tb6 Sc8 Pb8'
_cell_length_a 4.2424
_cell_length_b 9.0133
_cell_length_c 15.9444
_cell_angle_alpha 90.00
_cell_angle_beta 90.00
_cell_angle_gamma 90.00
_space_group_name_H-M_alt 'I m m m'
_space_group_IT_number 71
_space_group_name_Hall '-I 2 2'
loop_
_atom_site_label
_atom_site_fract_x
_atom_site_fract_y
_atom_site_fract_z
Tb1 0.0000 0.0000 0.0000
Tb2 0.0000 0.5000 0.1143
Sc1 0.0000 0.3008 0.3250
Pb1 0.0000 0.0000 0.2343
Pb2 0.0000 0.2113 0.5000

How do the records compare in calculated volume? In the order shown, they have 28.5; 28.9; 27.3; 27.7 Å³/atom.
How do the records compare in energy of formation? In the order shown, they have -0.394; -0.432; -0.090; -0.373 eV/atom.